Computed, not measured: crystalline Pm2PrSnN4 at its relaxed geometry at the PBE level of DFT.

Geometry as POSCAR:
```
Pm2PrSnN4
1.0
1.830 -6.029 0.000
1.830 6.029 0.000
0.000 0.000 12.353
Pm Pr Sn N
4 2 2 8
direct
0.129 0.871 0.537 Pm
0.129 0.871 0.963 Pm
0.871 0.129 0.037 Pm
0.871 0.129 0.463 Pm
0.388 0.612 0.750 Pr
0.612 0.388 0.250 Pr
0.349 0.651 0.250 Sn
0.651 0.349 0.750 Sn
0.056 0.944 0.750 N
0.229 0.771 0.126 N
0.229 0.771 0.374 N
0.500 0.500 0.000 N
0.500 0.500 0.500 N
0.771 0.229 0.626 N
0.771 0.229 0.874 N
0.944 0.056 0.250 N
```

Values from the calculation:
The spin magnetization is 0.00 μB per formula unit. The raw formation energy comes out at -6.25 eV per formula unit. Its crystal system is orthorhombic. The total energy is -115.68 eV/cell.


Computed, not measured: crystalline PmPr2SnN4 at its relaxed geometry at the PBE level of DFT.

Geometry as POSCAR:
```
PmPr2SnN4
1.0
1.821 -6.068 0.000
1.821 6.068 0.000
0.000 0.000 12.593
Pm Pr Sn N
2 4 2 8
direct
0.118 0.882 0.750 Pm
0.882 0.118 0.250 Pm
0.370 0.630 0.535 Pr
0.370 0.630 0.965 Pr
0.630 0.370 0.035 Pr
0.630 0.370 0.465 Pr
0.148 0.852 0.250 Sn
0.852 0.148 0.750 Sn
0.000 0.000 0.000 N
0.000 0.000 0.500 N
0.273 0.727 0.132 N
0.273 0.727 0.368 N
0.449 0.551 0.750 N
0.551 0.449 0.250 N
0.727 0.273 0.632 N
0.727 0.273 0.868 N
```

Values from the calculation:
The spin magnetization is 0.00 μB per formula unit. The raw formation energy comes out at -5.68 eV per formula unit. Its crystal system is orthorhombic. The total energy is -114.59 eV/cell.